(1)
A relaxed structure of Np4Ga12Os, computed with PBE-GGA.

Calculated values
The magnetization comes out at 0.917 μB per atom. The formation energy from the elements is -215 meV per atom. The value obtained for the volume is 18.77 Å³/atom.

Cell lengths 8.610, 8.610, 8.610 Å; angles 90.00, 90.00, 90.00 degrees
Space group Im-3m (No. 229)
Symmetry-distinct sites (fractional):
Np  0.250  0.250  0.250 [8 per cell]
Ga  0.000  0.000  0.291 [12 per cell]
Ga  0.000  0.250  0.500 [12 per cell]
Os  0.000  0.000  0.000 [2 per cell]

***

(2)
A relaxed structure of Bi2SeN, computed with PBE-GGA.

Calculated values
The magnetization comes out at 0.000 μB per atom. The value obtained for the volume is 27.72 Å³/atom. The energy relative to the elements, uncorrected comes out at 0.378 eV per atom.

Cell lengths 6.542, 6.542, 10.363 Å; angles 90.00, 90.00, 90.00 degrees
Space group I-42d (No. 122)
Symmetry-distinct sites (fractional):
Bi  0.176  0.250  0.125 [8 per cell]
Se  0.000  0.000  0.500 [4 per cell]
N  0.000  0.000  0.000 [4 per cell]

***

(3)
A relaxed structure of Rb2OsNF6, computed with PBE-GGA.

Calculated values
The magnetization comes out at 0.500 μB per atom. The value obtained for the volume is 19.68 Å³/atom. The energy relative to the elements, uncorrected comes out at -1.480 eV per atom.

Cell lengths 6.518, 6.518, 9.262 Å; angles 90.00, 90.00, 90.00 degrees
Space group I4/mmm (No. 139)
Symmetry-distinct sites (fractional):
Rb  0.000  0.500  0.250 [4 per cell]
Os  0.000  0.000  0.000 [2 per cell]
N  0.000  0.000  0.500 [2 per cell]
F  0.000  0.000  0.214 [4 per cell]
F  0.214  0.214  0.000 [8 per cell]

***

(4)
A relaxed structure of ZrTi3Cr, computed with PBE-GGA.

Calculated values
The magnetization comes out at 0.006 μB per atom. The formation energy from the elements is 1639 meV per atom. The value obtained for the volume is 20.67 Å³/atom.

Cell lengths 4.693, 4.693, 4.693 Å; angles 90.00, 90.00, 90.00 degrees
Space group Pm-3m (No. 221)
Symmetry-distinct sites (fractional):
Zr  0.000  0.000  0.000 [1 per cell]
Ti  0.000  0.000  0.500 [3 per cell]
Cr  0.500  0.500  0.500 [1 per cell]

***

(5)
A relaxed structure of CaNiGe2Rh, computed with PBE-GGA.

Calculated values
The magnetization comes out at 0.000 μB per atom. The formation energy from the elements is -639 meV per atom. The value obtained for the volume is 17.60 Å³/atom.

Cell lengths 4.095, 4.095, 10.496 Å; angles 90.00, 90.00, 90.00 degrees
Space group I-4m2 (No. 119)
Symmetry-distinct sites (fractional):
Ca  0.000  0.000  0.000 [2 per cell]
Ni  0.000  0.500  0.250 [2 per cell]
Ge  0.000  0.000  0.375 [4 per cell]
Rh  0.000  0.500  0.750 [2 per cell]

***

(6)
A relaxed structure of Pm2Al2Zn3, computed with PBE-GGA.

Calculated values
The magnetization comes out at 0.000 μB per atom. The formation energy from the elements is -353 meV per atom. The value obtained for the volume is 21.10 Å³/atom.

Cell lengths 4.333, 19.057, 7.156 Å; angles 90.00, 90.00, 90.00 degrees
Space group Cmcm (No. 63)
Symmetry-distinct sites (fractional):
Pm  0.000  0.053  0.250 [4 per cell]
Pm  0.000  0.157  0.750 [4 per cell]
Al  0.000  0.316  0.563 [8 per cell]
Zn  0.000  0.224  0.250 [4 per cell]
Zn  0.000  0.442  0.074 [8 per cell]

***

> What is the magnetization in the second record?

0.000 μB per atom

***

> Which of these has the highest magnetization?

Np4Ga12Os